Record 1
Compound: Ba2Hg4Au5
Source: Alexandria via LeMat-Bulk
Functional: PBE
Structure: relaxed

The structure in CIF format:
```
data_Ba2Hg4Au5
_chemical_formula_sum 'Ba2 Hg4 Au5'
_space_group_name_H-M_alt 'P 1'
_space_group_IT_number 1
_space_group_name_Hall 'P 1'
_cell_length_a 7.496
_cell_length_b 7.496
_cell_length_c 7.496
_cell_angle_alpha 127.41
_cell_angle_beta 108.20
_cell_angle_gamma 94.59
loop_
_atom_site_label
_atom_site_type_symbol
_atom_site_fract_x
_atom_site_fract_y
_atom_site_fract_z
Ba1 Ba 0.247 0.000 0.247
Ba2 Ba 0.753 0.000 0.753
Hg1 Hg 0.146 0.352 0.794
Hg2 Hg 0.441 0.648 0.794
Hg3 Hg 0.559 0.352 0.206
Hg4 Hg 0.854 0.648 0.206
Au1 Au 0.000 0.500 0.500
Au2 Au 0.245 0.530 0.286
Au3 Au 0.245 0.959 0.714
Au4 Au 0.755 0.041 0.286
Au5 Au 0.755 0.470 0.714
```

Crystal system: orthorhombic
D(E_F) in states/eV/atom: 0.377
Total magnetic moment in μB per formula unit: 0.00
V in A^3/atom: 26.98
Total DFT energy (no corrections) in eV per formula unit: -25.19
E_form in eV/atom: -0.341

=====

Record 2
Compound: Ga2CoRu
Source: Alexandria via LeMat-Bulk
Functional: PBE
Structure: relaxed

The structure in CIF format:
```
data_Ga2CoRu
_chemical_formula_sum 'Ga2 Co1 Ru1'
_space_group_name_H-M_alt 'P 1'
_space_group_IT_number 1
_space_group_name_Hall 'P 1'
_cell_length_a 4.189
_cell_length_b 4.189
_cell_length_c 4.189
_cell_angle_alpha 60.00
_cell_angle_beta 60.00
_cell_angle_gamma 60.00
loop_
_atom_site_label
_atom_site_type_symbol
_atom_site_fract_x
_atom_site_fract_y
_atom_site_fract_z
Ga1 Ga 0.250 0.250 0.250
Ga2 Ga 0.750 0.750 0.750
Co1 Co 0.000 0.000 0.000
Ru1 Ru 0.500 0.500 0.500
```

Crystal system: cubic
D(E_F) in states/eV/atom: 0.437
ΔE to the lowest computed polymorph in meV per atom: 1
Total magnetic moment in μB per formula unit: 0.00
V in A^3/atom: 13.00
Total DFT energy (no corrections) in eV per formula unit: -23.64
E_form in eV/atom: -0.301

=====

Record 3
Compound: K6CuSi2O8
Source: Alexandria via LeMat-Bulk
Functional: PBE
Structure: relaxed

The structure in CIF format:
```
data_K6CuSi2O8
_chemical_formula_sum 'K6 Cu1 Si2 O8'
_space_group_name_H-M_alt 'P 1'
_space_group_IT_number 1
_space_group_name_Hall 'P 1'
_cell_length_a 6.298
_cell_length_b 6.768
_cell_length_c 7.607
_cell_angle_alpha 83.31
_cell_angle_beta 87.46
_cell_angle_gamma 69.58
loop_
_atom_site_label
_atom_site_type_symbol
_atom_site_fract_x
_atom_site_fract_y
_atom_site_fract_z
K1 K 0.151 0.326 0.168
K2 K 0.225 0.685 0.440
K3 K 0.300 0.804 0.975
K4 K 0.700 0.196 0.025
K5 K 0.775 0.315 0.560
K6 K 0.849 0.674 0.832
Cu1 Cu 0.500 0.000 0.500
Si1 Si 0.280 0.260 0.732
Si2 Si 0.720 0.740 0.268
O1 O 0.064 0.225 0.843
O2 O 0.244 0.270 0.512
O3 O 0.329 0.468 0.785
O4 O 0.484 0.958 0.246
O5 O 0.516 0.042 0.754
O6 O 0.671 0.532 0.215
O7 O 0.756 0.730 0.488
O8 O 0.936 0.775 0.157
```

Crystal system: triclinic
Formation energy (no corrections) in eV/atom: -1.99
Total magnetic moment in μB per formula unit: 1.00
V in A^3/atom: 17.75
Total DFT energy (no corrections) in eV per formula unit: -95.07

=====

Record 4
Compound: Na2MgZrTe4
Source: Alexandria via LeMat-Bulk
Functional: PBE
Structure: relaxed

The structure in CIF format:
```
data_Na2MgZrTe4
_chemical_formula_sum 'Na2 Mg1 Zr1 Te4'
_space_group_name_H-M_alt 'P 1'
_space_group_IT_number 1
_space_group_name_Hall 'P 1'
_cell_length_a 7.422
_cell_length_b 4.238
_cell_length_c 7.907
_cell_angle_alpha 90.00
_cell_angle_beta 108.06
_cell_angle_gamma 90.00
loop_
_atom_site_label
_atom_site_type_symbol
_atom_site_fract_x
_atom_site_fract_y
_atom_site_fract_z
Na1 Na 0.000 0.000 0.000
Na2 Na 0.500 0.500 0.000
Mg1 Mg 0.000 0.500 0.500
Zr1 Zr 0.500 0.000 0.500
Te1 Te 0.242 0.000 0.717
Te2 Te 0.266 0.500 0.277
Te3 Te 0.734 0.500 0.723
Te4 Te 0.758 0.000 0.283
```

Crystal system: monoclinic
D(E_F) in states/eV/atom: 0.112
Formation energy (no corrections) in eV/atom: -0.89
Total magnetic moment in μB per formula unit: 0.00
V in A^3/atom: 29.56
Total DFT energy (no corrections) in eV per formula unit: -32.49

=====

Record 5
Compound: Sc2TiRh3
Source: Alexandria via LeMat-Bulk
Functional: PBE
Structure: relaxed

The structure in CIF format:
```
data_Sc2TiRh3
_chemical_formula_sum 'Sc2 Ti1 Rh3'
_space_group_name_H-M_alt 'P 1'
_space_group_IT_number 1
_space_group_name_Hall 'P 1'
_cell_length_a 3.197
_cell_length_b 3.197
_cell_length_c 9.535
_cell_angle_alpha 90.00
_cell_angle_beta 90.00
_cell_angle_gamma 90.00
loop_
_atom_site_label
_atom_site_type_symbol
_atom_site_fract_x
_atom_site_fract_y
_atom_site_fract_z
Sc1 Sc 0.000 0.000 0.169
Sc2 Sc 0.000 0.000 0.831
Ti1 Ti 0.000 0.000 0.500
Rh1 Rh 0.500 0.500 0.000
Rh2 Rh 0.500 0.500 0.346
Rh3 Rh 0.500 0.500 0.654
```

Crystal system: tetragonal
D(E_F) in states/eV/atom: 0.753
ΔE to the lowest computed polymorph in meV per atom: 0
Total magnetic moment in μB per formula unit: 0.00
V in A^3/atom: 16.24
Total DFT energy (no corrections) in eV per formula unit: -48.14
E_form in eV/atom: -0.920

=====

Record 6
Compound: Hf6PdRh
Source: Alexandria via LeMat-Bulk
Functional: PBE
Structure: relaxed

The structure in CIF format:
```
data_Hf6PdRh
_chemical_formula_sum 'Hf6 Pd1 Rh1'
_space_group_name_H-M_alt 'P 1'
_space_group_IT_number 1
_space_group_name_Hall 'P 1'
_cell_length_a 5.392
_cell_length_b 5.418
_cell_length_c 5.441
_cell_angle_alpha 91.40
_cell_angle_beta 91.24
_cell_angle_gamma 92.70
loop_
_atom_site_label
_atom_site_type_symbol
_atom_site_fract_x
_atom_site_fract_y
_atom_site_fract_z
Hf1 Hf 0.003 0.015 0.251
Hf2 Hf 0.249 0.502 0.987
Hf3 Hf 0.472 0.747 0.499
Hf4 Hf 0.528 0.253 0.501
Hf5 Hf 0.751 0.498 0.013
Hf6 Hf 0.997 0.985 0.749
Pd1 Pd 0.500 0.000 0.000
Rh1 Rh 0.000 0.500 0.500
```

Crystal system: triclinic
D(E_F) in states/eV/atom: 1.190
Total magnetic moment in μB per formula unit: 0.00
V in A^3/atom: 19.84
Total DFT energy (no corrections) in eV per formula unit: -74.62
E_form in eV/atom: -0.295

=====

Record 7
Compound: SmRhSe
Source: Alexandria via LeMat-Bulk
Functional: PBE
Structure: relaxed

The structure in CIF format:
```
data_SmRhSe
_chemical_formula_sum 'Sm4 Rh4 Se4'
_space_group_name_H-M_alt 'P 1'
_space_group_IT_number 1
_space_group_name_Hall 'P 1'
_cell_length_a 9.029
_cell_length_b 9.029
_cell_length_c 3.720
_cell_angle_alpha 90.00
_cell_angle_beta 90.00
_cell_angle_gamma 90.00
loop_
_atom_site_label
_atom_site_type_symbol
_atom_site_fract_x
_atom_site_fract_y
_atom_site_fract_z
Sm1 Sm 0.124 0.346 0.000
Sm2 Sm 0.346 0.876 0.500
Sm3 Sm 0.654 0.124 0.500
Sm4 Sm 0.876 0.654 0.000
Rh1 Rh 0.092 0.871 0.000
Rh2 Rh 0.129 0.092 0.500
Rh3 Rh 0.871 0.908 0.500
Rh4 Rh 0.908 0.129 0.000
Se1 Se 0.144 0.629 0.500
Se2 Se 0.371 0.144 0.000
Se3 Se 0.629 0.856 0.000
Se4 Se 0.856 0.371 0.500
```

Crystal system: tetragonal
D(E_F) in states/eV/atom: 0.660
Formation energy (no corrections) in eV/atom: -0.88
Total magnetic moment in μB per formula unit: 0.00
V in A^3/atom: 25.27
Total DFT energy (no corrections) in eV per formula unit: -18.19

=====

Record 8
Compound: BaCdSe2
Source: Alexandria via LeMat-Bulk
Functional: PBE
Structure: relaxed

The structure in CIF format:
```
data_BaCdSe2
_chemical_formula_sum 'Ba1 Cd1 Se2'
_space_group_name_H-M_alt 'P 1'
_space_group_IT_number 1
_space_group_name_Hall 'P 1'
_cell_length_a 4.306
_cell_length_b 3.942
_cell_length_c 7.536
_cell_angle_alpha 90.00
_cell_angle_beta 90.99
_cell_angle_gamma 90.00
loop_
_atom_site_label
_atom_site_type_symbol
_atom_site_fract_x
_atom_site_fract_y
_atom_site_fract_z
Ba1 Ba 0.000 0.000 0.000
Cd1 Cd 0.500 0.000 0.500
Se1 Se 0.492 0.500 0.755
Se2 Se 0.508 0.500 0.245
```

Crystal system: monoclinic
D(E_F) in states/eV/atom: 0.053
Formation energy (no corrections) in eV/atom: -1.12
Total magnetic moment in μB per formula unit: 0.00
V in A^3/atom: 31.97
Total DFT energy (no corrections) in eV per formula unit: -14.30